Material: Sc2HgMoO8
Method: DFT, PBE+U
State: relaxed

abc: 4.8308 4.8296 6.6529
angles: 86.79 93.21 93.34
With the nearest neighbours (Å) after each atom.
Positions (direct):
O1 0.2131 0.7864 0.1840  1 Mo 1.86
O2 0.7058 0.7063 0.0000  1 Mo 1.95, 2 Sc 2.13
O3 0.6878 0.6880 0.4999  1 Hg 2.07, 2 Sc 2.11
O4 0.8258 0.1745 0.2315  1 Mo 2.04, 1 Hg 2.09, 1 Sc 2.24
O5 0.1742 0.8255 0.7685  1 Mo 2.04, 1 Hg 2.09, 1 Sc 2.24
O6 0.7869 0.2136 0.8160  1 Mo 1.86
O7 0.2942 0.2937 0.0000  1 Mo 1.95, 2 Sc 2.13
O8 0.3122 0.3120 0.5001  1 Hg 2.07, 2 Sc 2.11
Sc1 0.5088 0.4912 0.2454  6 O 2.09-2.24
Sc2 0.4912 0.5088 0.7546  6 O 2.09-2.24
Hg1 0.0000 0.0000 0.5000  4 O 2.07-2.09
Mo1 0.0000 0.0000 0.0000  6 O 1.86-2.04

## Properties
For the total energy, the calculation gives -6.860 eV per atom. Its symmetry is C2/m (12).